(1)
PaAgIr2 PBE optimized geometry; space-group type = P4/mmm, No. 123; E_form = -0.507 eV/atom; magnetic moment = 0.00 μB per atom; calculated total energy = -32.10 eV/cell
1.0
-1.490 -3.570 0.442
3.685 -1.709 -1.381
1.460 -0.111 4.032
Pa Ag Ir
1 1 2
Direct
0.500 0.000 0.000
0.500 0.500 0.500
0.000 0.000 0.500
0.000 0.500 0.000

(2)
Tb2CrTcN5 PBE optimized geometry; space-group type = Cmc2_1, No. 36; magnetic moment = 0.04 μB per atom; ΔE_f (raw) = -0.82 eV per atom; calculated total energy = -156.50 eV/cell
1.0
3.268 0.000 0.000
-1.634 6.799 0.000
0.000 0.000 9.636
Tb Cr Tc N
4 2 2 10
Direct
0.866 0.732 0.819
0.124 0.247 0.681
0.134 0.268 0.319
0.876 0.753 0.181
0.557 0.115 0.947
0.443 0.885 0.447
0.800 0.600 0.522
0.200 0.400 0.022
0.345 0.691 0.008
0.684 0.369 0.869
0.501 0.003 0.789
0.301 0.602 0.653
0.964 0.928 0.534
0.655 0.309 0.508
0.316 0.631 0.369
0.499 0.997 0.289
0.699 0.398 0.153
0.036 0.072 0.034

(3)
RbIn2Os PBE optimized geometry; E above lowest polymorph = 343 meV per atom; space-group type = Fm-3m, No. 225; E_form = 0.941 eV/atom; magnetic moment = 0.00 μB per atom; calculated total energy = -13.91 eV/cell
1.0
0.000 3.626 3.626
3.626 0.000 3.626
3.626 3.626 0.000
Os Rb In
1 1 2
Direct
0.500 0.500 0.500
0.000 0.000 0.000
0.250 0.250 0.250
0.750 0.750 0.750

(4)
LiPm2HfS5 PBE optimized geometry; space-group type = Cmc2_1, No. 36; magnetic moment = 0.00 μB per atom; ΔE_f (raw) = -1.77 eV per atom; calculated total energy = -115.84 eV/cell
1.0
3.843 0.000 0.000
-1.921 8.171 0.000
0.000 0.000 11.695
Li Pm Hf S
2 4 2 10
Direct
0.547 0.094 0.955
0.453 0.906 0.455
0.869 0.739 0.804
0.108 0.215 0.688
0.131 0.261 0.304
0.892 0.785 0.188
0.802 0.604 0.514
0.198 0.396 0.014
0.357 0.714 0.002
0.690 0.381 0.862
0.495 0.990 0.775
0.283 0.566 0.664
0.947 0.893 0.560
0.643 0.286 0.502
0.310 0.619 0.362
0.505 0.010 0.275
0.717 0.434 0.164
0.053 0.107 0.060

(5)
PmZn4 PBE optimized geometry; E above lowest polymorph = 1231 meV per atom; space-group type = Pm-3m, No. 221; E_form = 0.916 eV/atom; magnetic moment = 0.00 μB per atom; calculated total energy = -5.27 eV/cell
1.0
-3.493 -4.522 0.562
4.034 -3.398 -2.269
2.119 -0.985 5.245
Zn Pm
4 1
Direct
0.000 0.000 0.000
0.500 0.000 0.500
0.000 0.500 0.500
0.500 0.500 0.000
0.500 0.500 0.500

(6)
Bi6BrO8 PBE optimized geometry; space-group type = R-3, No. 148; magnetic moment = 0.00 μB per atom; ΔE_f (raw) = -1.10 eV per atom; calculated total energy = -81.09 eV/cell
1.0
-4.706 3.598 -3.697
-6.791 -0.525 1.539
-3.205 6.668 3.975
Bi Br O
6 1 8
Direct
0.457 0.118 0.702
0.882 0.278 0.298
0.278 0.543 0.298
0.722 0.457 0.702
0.118 0.722 0.702
0.543 0.882 0.298
0.000 0.000 0.000
0.573 0.192 0.396
0.808 0.161 0.604
0.161 0.427 0.604
0.606 0.606 0.183
0.394 0.394 0.817
0.839 0.573 0.396
0.192 0.839 0.396
0.427 0.808 0.604